Crystalline CrFeTe2 at its relaxed geometry. Source: Alexandria, functional GGA-PBE.

a = 4.959 Å, b = 4.382 Å, c = 4.382 Å
α = 74.09°, β = 90.00°, γ = 90.00°
Element x y z (fractional)
Cr (0.000, 0.000, 0.000)
Fe (0.500, 0.230, 0.230)
Te (0.000, 0.382, 0.382)
Te (0.500, 0.844, 0.844)

Computed properties:
Energy relative to the elements, uncorrected = 0.177 eV per atom
Total magnetic moment = 1.536 μB per atom
Space group = Amm2 (38)
ΔE to the lowest computed polymorph = 46 kJ/mol of formula units



Crystalline CrFe2Te2 at its relaxed geometry. Source: Alexandria, functional GGA-PBE.

a = 7.989 Å, b = 7.989 Å, c = 7.989 Å
α = 156.36°, β = 156.36°, γ = 33.67°
Element x y z (fractional)
Cr (0.000, 0.000, 0.000)
Fe (0.250, 0.750, 0.500)
Fe (0.750, 0.250, 0.500)
Te (0.393, 0.393, 0.000)
Te (0.607, 0.607, 0.000)

Computed properties:
Energy relative to the elements, uncorrected = 0.725 eV per atom
Total magnetic moment = 0.000 μB per atom
Space group = I4/mmm (139)
ΔE to the lowest computed polymorph = 57 kJ/mol of formula units



Crystalline CrFeTe2 at its relaxed geometry. Source: Alexandria, functional GGA-PBE.

a = 6.846 Å, b = 6.846 Å, c = 6.846 Å
α = 33.26°, β = 33.26°, γ = 33.26°
Element x y z (fractional)
Cr (0.000, 0.000, 0.000)
Fe (0.690, 0.690, 0.690)
Te (0.254, 0.254, 0.254)
Te (0.429, 0.429, 0.429)

Computed properties:
Energy relative to the elements, uncorrected = 0.057 eV per atom
Total magnetic moment = 0.216 μB per atom
Space group = R3m (160)
ΔE to the lowest computed polymorph = 0 kJ/mol of formula units



Crystalline CrFeTe at its relaxed geometry. Source: Alexandria, functional GGA-PBE.

a = 4.219 Å, b = 4.219 Å, c = 3.397 Å
α = 90.00°, β = 90.00°, γ = 120.00°
Element x y z (fractional)
Cr (0.000, 0.000, 0.000)
Fe (0.333, 0.667, 0.500)
Te (0.667, 0.333, 0.500)

Computed properties:
Energy relative to the elements, uncorrected = 0.451 eV per atom
Total magnetic moment = 0.621 μB per atom
Space group = P-6m2 (187)
ΔE to the lowest computed polymorph = 95 kJ/mol of formula units



Crystalline CrFe2Te at its relaxed geometry. Source: Alexandria, functional GGA-PBE.

a = 2.988 Å, b = 4.334 Å, c = 4.666 Å
α = 90.00°, β = 92.60°, γ = 90.00°
Element x y z (fractional)
Cr (0.000, 0.000, 0.000)
Fe (0.305, 0.500, 0.208)
Fe (0.695, 0.500, 0.792)
Te (0.500, 0.000, 0.500)

Computed properties:
Energy relative to the elements, uncorrected = 0.524 eV per atom
Total magnetic moment = 1.480 μB per atom
Space group = P2/m (10)
ΔE to the lowest computed polymorph = 72 kJ/mol of formula units



Crystalline CrFe3Te at its relaxed geometry. Source: Alexandria, functional GGA-PBE.

a = 4.343 Å, b = 4.343 Å, c = 4.343 Å
α = 90.00°, β = 90.00°, γ = 90.00°
Element x y z (fractional)
Cr (0.000, 0.000, 0.000)
Fe (0.000, 0.000, 0.500)
Fe (0.000, 0.500, 0.000)
Fe (0.500, 0.000, 0.000)
Te (0.500, 0.500, 0.500)

Computed properties:
Energy relative to the elements, uncorrected = 1.073 eV per atom
Total magnetic moment = 0.917 μB per atom
Space group = Pm-3m (221)
ΔE to the lowest computed polymorph = 0 kJ/mol of formula units



Crystalline CrFeTe at its relaxed geometry. Source: Alexandria, functional GGA-PBE.

a = 4.743 Å, b = 4.743 Å, c = 4.743 Å
α = 137.45°, β = 137.45°, γ = 61.75°
Element x y z (fractional)
Cr (0.000, 0.000, 0.000)
Fe (0.339, 0.339, 0.000)
Te (0.666, 0.666, 0.000)

Computed properties:
Energy relative to the elements, uncorrected = 0.414 eV per atom
Total magnetic moment = 1.786 μB per atom
Space group = I4mm (107)
ΔE to the lowest computed polymorph = 85 kJ/mol of formula units



Crystalline CrFeTe2 at its relaxed geometry. Source: Alexandria, functional GGA-PBE.

a = 4.901 Å, b = 4.901 Å, c = 4.901 Å
α = 60.00°, β = 60.00°, γ = 60.00°
Element x y z (fractional)
Cr (0.000, 0.000, 0.000)
Fe (0.750, 0.750, 0.750)
Te (0.250, 0.250, 0.250)
Te (0.500, 0.500, 0.500)

Computed properties:
Energy relative to the elements, uncorrected = 0.860 eV per atom
Total magnetic moment = 1.592 μB per atom
Space group = F-43m (216)
ΔE to the lowest computed polymorph = 310 kJ/mol of formula units



Crystalline CrFe2Te at its relaxed geometry. Source: Alexandria, functional GGA-PBE.

a = 7.809 Å, b = 7.809 Å, c = 7.809 Å
α = 22.38°, β = 22.38°, γ = 22.38°
Element x y z (fractional)
Cr (0.000, 0.000, 0.000)
Fe (0.261, 0.261, 0.261)
Fe (0.739, 0.739, 0.739)
Te (0.500, 0.500, 0.500)

Computed properties:
Energy relative to the elements, uncorrected = 0.630 eV per atom
Total magnetic moment = 0.478 μB per atom
Space group = R-3m (166)
ΔE to the lowest computed polymorph = 113 kJ/mol of formula units



Crystalline CrFe2Te at its relaxed geometry. Source: Alexandria, functional GGA-PBE.

a = 3.307 Å, b = 3.307 Å, c = 5.476 Å
α = 90.00°, β = 90.00°, γ = 90.00°
Element x y z (fractional)
Cr (0.000, 0.000, 0.000)
Fe (0.000, 0.000, 0.544)
Fe (0.500, 0.500, 0.750)
Te (0.500, 0.500, 0.250)

Computed properties:
Energy relative to the elements, uncorrected = 0.381 eV per atom
Total magnetic moment = 1.830 μB per atom
Space group = P4mm (99)
ΔE to the lowest computed polymorph = 17 kJ/mol of formula units



Crystalline CrFeTe2 at its relaxed geometry. Source: Alexandria, functional GGA-PBE.

a = 7.217 Å, b = 7.217 Å, c = 7.217 Å
α = 152.26°, β = 147.50°, γ = 43.24°
Element x y z (fractional)
Cr (0.000, 0.000, 0.000)
Fe (0.389, 0.889, 0.500)
Te (0.568, 0.568, 0.000)
Te (0.834, 0.334, 0.500)

Computed properties:
Energy relative to the elements, uncorrected = 0.231 eV per atom
Total magnetic moment = 1.371 μB per atom
Space group = Imm2 (44)
ΔE to the lowest computed polymorph = 67 kJ/mol of formula units



Crystalline CrFeTe2 at its relaxed geometry. Source: Alexandria, functional GGA-PBE.

a = 4.773 Å, b = 4.773 Å, c = 3.379 Å
α = 90.00°, β = 90.00°, γ = 90.00°
Element x y z (fractional)
Cr (0.000, 0.000, 0.000)
Fe (0.500, 0.500, 0.000)
Te (0.000, 0.500, 0.500)
Te (0.500, 0.000, 0.500)

Computed properties:
Energy relative to the elements, uncorrected = 0.412 eV per atom
Total magnetic moment = 1.389 μB per atom
Space group = P4/mmm (123)
ΔE to the lowest computed polymorph = 137 kJ/mol of formula units



Q: Which of these has the lowest total magnetic moment?
A: CrFe2Te2